Material: NpGePt2
Method: DFT, PBE-GGA
State: optimized geometry

Its symmetry is No. 166. As for the formation energy: -0.48 eV/atom. The calculation puts the electronic total energy at -0.57979 Ry/atom.

a = 4.255 Å, b = 4.255 Å, c = 5.550 Å
α = 67.46°, β = 67.46°, γ = 60.00°
Positions (direct):
Np  0.000  0.000  0.000
Ge  0.500  0.500  0.500
Pt  0.777  0.777  0.668
Pt  0.223  0.223  0.332

***

Material: KPa2Au2Se6
Method: DFT, PBE-GGA
State: optimized geometry

Its symmetry is No. 2. The calculation puts the electronic total energy at -0.38836 Ry/atom. Its uncorrected formation energy is -0.96 eV per atom.

a = 7.519 Å, b = 7.898 Å, c = 8.254 Å
α = 123.09°, β = 91.00°, γ = 60.28°
Positions (direct):
K  0.500  0.000  0.500
Pa  0.845  0.316  0.841
Pa  0.155  0.684  0.159
Au  0.196  0.780  0.827
Au  0.804  0.220  0.173
Se  0.430  0.786  0.061
Se  0.969  0.465  0.190
Se  0.216  0.817  0.543
Se  0.031  0.535  0.810
Se  0.784  0.183  0.457
Se  0.570  0.214  0.939

***

Material: Pm5CdNi2
Method: DFT, PBE-GGA
State: optimized geometry

Its symmetry is No. 140. As for the formation energy: -0.24 eV/atom. The calculation puts the electronic total energy at -0.35033 Ry/atom.

a = 7.953 Å, b = 7.953 Å, c = 8.742 Å
α = 117.06°, β = 117.06°, γ = 90.00°
Positions (direct):
Pm  0.525  0.704  0.729
Pm  0.796  0.975  0.271
Pm  0.000  0.000  0.000
Pm  0.500  0.500  0.000
Pm  0.204  0.025  0.729
Pm  0.704  0.204  0.729
Pm  0.025  0.525  0.729
Pm  0.296  0.796  0.271
Pm  0.975  0.475  0.271
Pm  0.475  0.296  0.271
Cd  0.750  0.750  0.500
Cd  0.250  0.250  0.500
Ni  0.121  0.379  0.000
Ni  0.621  0.121  0.000
Ni  0.379  0.879  0.000
Ni  0.879  0.621  0.000

***

Material: YTm2HfAs4
Method: DFT, PBE-GGA
State: optimized geometry

Its symmetry is No. 10. As for the formation energy: -1.39 eV/atom. The calculation puts the electronic total energy at -0.50572 Ry/atom.

a = 4.005 Å, b = 6.945 Å, c = 6.940 Å
α = 109.27°, β = 90.00°, γ = 90.00°
Positions (direct):
Y  0.000  0.000  0.000
Tm  0.500  0.000  0.500
Tm  0.000  0.500  0.500
Hf  0.500  0.500  0.000
As  0.500  0.258  0.248
As  0.500  0.742  0.752
As  0.000  0.261  0.758
As  0.000  0.739  0.242